{
  "formula": "K2Ba2WO6",
  "functional": "GGA+U",
  "state": "optimized geometry",
  "lattice": [[3.2777, -5.4818, 0.0000], [3.2777, 5.4818, 0.0000], [-1.5776, 0.0000, 6.3966]],
  "species": ["K", "K", "Ba", "Ba", "W", "O", "O", "O", "O", "O", "O"],
  "frac_coords": [[0.1465, 0.8535, 0.0000], [0.8535, 0.1465, 0.0000], [0.3380, 0.6620, 0.5000], [0.6620, 0.3380, 0.5000], [0.0000, 0.0000, 0.5000], [0.0391, 0.2998, 0.6707], [0.1986, 0.1986, 0.3154], [0.2998, 0.0391, 0.6707], [0.7002, 0.9609, 0.3293], [0.8014, 0.8014, 0.6846], [0.9609, 0.7002, 0.3293]],
  "magnetic_moment_mub_per_fu": 0.00,
  "space_group": "C2/m",
  "dft_energy_ha_per_atom": -0.225,
  "mass_density_g_cm3": 4.6
}